CaPr4Dy6 | GGA-PBE | optimized geometry

Results
Formation enthalpy at 0 K: 0.3266 eV/atom
E: -45.1 eV/cell
N(E_F): 1.38 states/eV per atom

abc: 9.948 9.948 9.948
angles: 56.59 140.83 140.83
Positions (direct):
Ca 0.000 0.000 0.000
Pr 0.000 0.633 0.010
Pr 0.376 0.367 0.367
Pr 0.000 0.010 0.633
Pr 0.624 0.990 0.990
Dy 0.000 0.800 0.453
Dy 0.000 0.453 0.800
Dy 0.347 0.547 0.547
Dy 0.500 0.500 0.000
Dy 0.653 0.200 0.200
Dy 0.500 0.000 0.500


CaPr2Dy | GGA-PBE | optimized geometry

Results
Formation enthalpy at 0 K: 0.0858 eV/atom
E: -15.8 eV/cell
N(E_F): 1.49 states/eV per atom
Energy above the lowest structure with this stoichiometry: 64 meV per atom

abc: 5.071 5.295 5.295
angles: 90.00 90.00 90.00
Positions (direct):
Pr 0.000 0.000 0.500
Pr 0.000 0.500 0.000
Ca 0.500 0.000 0.000
Dy 0.500 0.500 0.500


Ca2Pr8Dy3 | GGA-PBE | optimized geometry

Results
Formation enthalpy at 0 K: 0.1845 eV/atom
E: -53.6 eV/cell
N(E_F): 1.27 states/eV per atom

abc: 6.515 7.980 10.130
angles: 113.20 78.02 90.00
Positions (direct):
Ca 0.727 0.655 0.309
Ca 0.273 0.345 0.691
Pr 0.723 0.461 0.922
Pr 0.277 0.539 0.078
Pr 0.281 0.830 0.661
Pr 0.719 0.170 0.339
Pr 0.223 0.949 0.344
Pr 0.223 0.394 0.344
Pr 0.777 0.606 0.656
Pr 0.777 0.051 0.656
Dy 0.500 0.000 0.000
Dy 0.000 0.193 0.000
Dy 0.000 0.807 0.000


CaPr4Dy3S8 | GGA-PBE | optimized geometry

Results
E: -100.3 eV/cell
N(E_F): 0.47 states/eV per atom
Energy relative to the elements, uncorrected: -2.02 eV/atom

abc: 7.978 8.102 7.977
angles: 119.49 120.00 90.00
Positions (direct):
Ca 0.000 0.500 0.000
Pr 0.500 0.000 0.000
Pr 0.500 0.000 0.500
Pr 0.000 0.000 0.000
Pr 0.000 0.000 0.500
Dy 0.500 0.500 0.000
Dy 0.500 0.500 0.500
Dy 0.000 0.500 0.500
S 0.245 0.732 0.987
S 0.245 0.732 0.490
S 0.256 0.269 0.513
S 0.742 0.732 0.987
S 0.258 0.268 0.013
S 0.744 0.731 0.487
S 0.755 0.268 0.510
S 0.755 0.268 0.013


CaPrDy4S8 | GGA-PBE | optimized geometry

Results
E: -86.0 eV/cell
N(E_F): 0.24 states/eV per atom
Energy relative to the elements, uncorrected: -1.99 eV/atom

abc: 8.111 8.111 8.189
angles: 60.31 60.31 60.00
Positions (direct):
Ca 0.374 0.374 0.878
Pr 0.002 0.002 0.995
Dy 0.626 0.626 0.123
Dy 0.002 0.494 0.502
Dy 0.494 0.002 0.502
Dy 0.002 0.002 0.502
S 0.246 0.778 0.729
S 0.778 0.246 0.729
S 0.246 0.246 0.729
S 0.239 0.239 0.282
S 0.751 0.230 0.268
S 0.230 0.751 0.268
S 0.751 0.751 0.268
S 0.758 0.758 0.725


Ca2PrDyS4 | GGA-PBE | optimized geometry

Results
E: -46.3 eV/cell
N(E_F): 0.41 states/eV per atom
Energy relative to the elements, uncorrected: -2.05 eV/atom

abc: 3.991 6.922 7.027
angles: 109.09 90.00 90.00
Positions (direct):
Ca 0.500 0.000 0.500
Ca 0.000 0.500 0.500
Pr 0.500 0.500 0.000
Dy 0.000 0.000 0.000
S 0.500 0.241 0.248
S 0.500 0.759 0.752
S 0.000 0.239 0.745
S 0.000 0.761 0.255


CaPrDySc | GGA-PBE | optimized geometry

Results
Formation enthalpy at 0 K: 0.1459 eV/atom
E: -17.1 eV/cell
N(E_F): 1.48 states/eV per atom

abc: 5.679 5.679 5.679
angles: 60.00 60.00 60.00
Positions (direct):
Pr 0.750 0.750 0.750
Sc 0.000 0.000 0.000
Ca 0.500 0.500 0.500
Dy 0.250 0.250 0.250


CaPrDy2Se4 | GGA-PBE | optimized geometry

Results
E: -44.6 eV/cell
N(E_F): 0.38 states/eV per atom
Energy relative to the elements, uncorrected: -1.83 eV/atom

abc: 4.124 7.192 7.224
angles: 70.97 90.00 90.00
Positions (direct):
Ca 0.000 0.500 0.500
Pr 0.500 0.500 0.000
Dy 0.000 0.000 0.000
Dy 0.500 0.000 0.500
Se 0.000 0.762 0.740
Se 0.000 0.238 0.260
Se 0.500 0.759 0.252
Se 0.500 0.241 0.748


CaPr2DySe4 | GGA-PBE | optimized geometry

Results
E: -44.9 eV/cell
N(E_F): 0.42 states/eV per atom
Energy relative to the elements, uncorrected: -1.85 eV/atom

abc: 4.157 7.225 7.361
angles: 108.87 90.00 90.00
Positions (direct):
Ca 0.000 0.000 0.000
Pr 0.500 0.000 0.500
Pr 0.000 0.500 0.500
Dy 0.500 0.500 0.000
Se 0.500 0.248 0.236
Se 0.500 0.752 0.764
Se 0.000 0.257 0.766
Se 0.000 0.743 0.234


Ca3Pr2DySe6 | GGA-PBE | optimized geometry

Results
E: -63.8 eV/cell
N(E_F): 0.38 states/eV per atom
Energy relative to the elements, uncorrected: -1.89 eV/atom

abc: 7.232 7.232 7.356
angles: 99.47 99.47 119.93
Positions (direct):
Ca 0.169 0.831 0.500
Ca 0.831 0.169 0.500
Ca 0.500 0.500 0.500
Pr 0.334 0.666 0.000
Pr 0.666 0.334 0.000
Dy 0.000 0.000 0.000
Se 0.916 0.592 0.746
Se 0.762 0.762 0.255
Se 0.084 0.408 0.254
Se 0.592 0.916 0.746
Se 0.238 0.238 0.745
Se 0.408 0.084 0.254


CaPr3Dy3Se8 | GGA-PBE | optimized geometry

Results
E: -86.3 eV/cell
N(E_F): 0.21 states/eV per atom
Energy relative to the elements, uncorrected: -1.88 eV/atom

abc: 8.280 8.280 8.372
angles: 119.64 90.00 120.00
Positions (direct):
Ca 0.000 0.000 0.500
Pr 0.000 0.000 0.000
Pr 0.000 0.500 0.000
Pr 0.500 0.500 0.000
Dy 0.500 0.000 0.500
Dy 0.500 0.500 0.500
Dy 0.000 0.500 0.500
Se 0.255 0.510 0.266
Se 0.745 0.490 0.734
Se 0.749 0.498 0.260
Se 0.251 0.502 0.740
Se 0.750 0.011 0.260
Se 0.250 0.989 0.740
Se 0.261 0.011 0.260
Se 0.739 0.989 0.740


Ca4PrDy3Se8 | GGA-PBE | optimized geometry

Results
E: -84.5 eV/cell
N(E_F): 0.34 states/eV per atom
Energy relative to the elements, uncorrected: -1.88 eV/atom

abc: 8.262 8.371 8.263
angles: 119.57 120.00 90.00
Positions (direct):
Ca 0.500 0.000 0.000
Ca 0.500 0.000 0.500
Ca 0.000 0.000 0.000
Ca 0.000 0.000 0.500
Pr 0.000 0.500 0.000
Dy 0.500 0.500 0.000
Dy 0.500 0.500 0.500
Dy 0.000 0.500 0.500
Se 0.254 0.750 0.996
Se 0.254 0.750 0.508
Se 0.252 0.256 0.504
Se 0.742 0.750 0.996
Se 0.258 0.250 0.004
Se 0.748 0.744 0.496
Se 0.746 0.250 0.492
Se 0.746 0.250 0.004


Which formula does entry 3 have?
Ca2Pr8Dy3